Computed, not measured: crystalline CeTc2Ge7 at its relaxed geometry at the GGA-PBE level of DFT.

Cell: 4.7794 6.8481 6.8481 Å, 100.55 90.00 90.00°
Last column: magnetic moment on the atom in μB.
Fractional positions:
Tc 0.5000 0.2748 0.7252  0.01
Ce 0.0000 0.0000 0.0000  0.90
Ge 0.5000 0.3363 0.1034  0.01
Tc 0.5000 0.7252 0.2748  0.01
Ge 0.5000 0.6637 0.8966  0.01
Ge 0.5000 0.8966 0.6637  0.01
Ge 0.0000 0.7076 0.2924  0.02
Ge 0.5000 0.5000 0.5000  0.00
Ge 0.5000 0.1034 0.3363  0.01
Ge 0.0000 0.2924 0.7076  0.02

## Properties
* Fermi-level density of states: 0.99 states/eV/atom
* energy of formation: 0.029 eV per atom
* crystal system: orthorhombic
* SG: No. 65

Computed, not measured: crystalline Ce3Tc2Ge at its relaxed geometry at the GGA-PBE level of DFT.

Cell: 4.6323 7.2586 8.3014 Å, 102.66 106.20 90.00°
Fractional positions:
Ce 0.3946 0.6114 0.7892
Ce 0.9185 0.3033 0.8370
Tc 0.7886 0.4129 0.5773
Tc 0.2114 0.5871 0.4227
Tc 0.0586 0.1617 0.1172
Ce 0.2294 0.1488 0.4588
Ge 0.4181 0.0360 0.8362
Ce 0.7706 0.8512 0.5412
Ce 0.6054 0.3886 0.2108
Ge 0.5819 0.9640 0.1638
Ce 0.0815 0.6967 0.1630
Tc 0.9414 0.8383 0.8828

## Properties
* Fermi-level density of states: 1.30 states/eV/atom
* energy of formation: -0.187 eV per atom
* crystal system: monoclinic
* SG: No. 12

Computed, not measured: crystalline CeTc3Ge3 at its relaxed geometry at the GGA-PBE level of DFT.

Cell: 6.4251 6.4251 8.3149 Å, 67.27 67.27 60.00°
Fractional positions:
Tc 0.4374 0.2202 0.4082
Tc 0.0657 0.5626 0.5918
Ce 0.6817 0.6817 0.9549
Tc 0.9343 0.4374 0.4082
Ce 0.3183 0.3183 0.0451
Ge 0.2040 0.6964 0.2337
Ge 0.1342 0.7960 0.7663
Tc 0.5626 0.7798 0.5918
Ge 0.8658 0.2040 0.2337
Tc 0.7798 0.0657 0.5918
Ge 0.6964 0.8658 0.2337
Tc 0.2202 0.9343 0.4082
Ge 0.7960 0.3036 0.7663
Ge 0.3036 0.1342 0.7663

## Properties
* Fermi-level density of states: 1.22 states/eV/atom
* energy of formation: -0.103 eV per atom
* crystal system: trigonal
* offset from the most stable computed form: 0.000 eV/atom
* SG: No. 148

Computed, not measured: crystalline Ce2TcGe4 at its relaxed geometry at the GGA-PBE level of DFT.

Cell: 5.9029 6.2622 8.6400 Å, 90.00 111.26 90.00°
Last column: magnetic moment on the atom in μB.
Fractional positions:
Ce 0.7720 0.7500 0.0473  0.49
Ge 0.6367 0.0475 0.2843  0.00
Ce 0.2211 0.2500 0.4137  0.37
Tc 0.6436 0.2500 0.7801  -0.02
Ge 0.6367 0.4525 0.2843  0.00
Ge 0.1766 0.7500 0.9155  0.00
Ge 0.8423 0.2500 0.5770  0.00
Ge 0.3633 0.5475 0.7157  0.00
Ce 0.7789 0.7500 0.5863  0.37
Tc 0.3564 0.7500 0.2199  -0.02
Ge 0.3633 0.9525 0.7157  0.00
Ge 0.1577 0.7500 0.4230  0.00
Ge 0.8234 0.2500 0.0845  0.00
Ce 0.2280 0.2500 0.9527  0.49

## Properties
* Fermi-level density of states: 1.40 states/eV/atom
* energy of formation: -0.527 eV per atom
* crystal system: monoclinic
* SG: No. 11

Computed, not measured: crystalline Ce4TcGe4 at its relaxed geometry at the GGA-PBE level of DFT.

Cell: 5.9394 6.8204 6.8204 Å, 79.07 64.19 64.19°
Last column: magnetic moment on the atom in μB.
Fractional positions:
Ge 0.2778 0.6368 0.8076  0.00
Ce 0.2191 0.3649 0.1968  0.12
Ce 0.5841 0.1968 0.6351  0.12
Ge 0.7222 0.3632 0.1924  0.00
Tc 0.0000 0.0000 0.0000  0.10
Ce 0.4159 0.8032 0.3649  0.12
Ce 0.7809 0.6351 0.8032  0.12
Ge 0.9146 0.8076 0.3632  0.00
Ge 0.0854 0.1924 0.6368  0.00

## Properties
* Fermi-level density of states: 2.06 states/eV/atom
* energy of formation: -0.318 eV per atom
* crystal system: tetragonal
* SG: No. 87

Computed, not measured: crystalline CeTc4Ge2 at its relaxed geometry at the GGA-PBE level of DFT.

Cell: 4.1141 4.1758 7.4154 Å, 106.35 90.00 90.00°
Fractional positions:
Ge 0.5000 0.4116 0.8232
Ce 0.0000 0.0000 0.0000
Ge 0.5000 0.5884 0.1768
Tc 0.0000 0.3021 0.6042
Tc 0.0000 0.6979 0.3958
Tc 0.5000 0.1920 0.3840
Tc 0.5000 0.8080 0.6160

## Properties
* Fermi-level density of states: 0.59 states/eV/atom
* energy of formation: -0.408 eV per atom
* crystal system: orthorhombic
* SG: No. 65

Computed, not measured: crystalline Ce6TcGe3 at its relaxed geometry at the GGA-PBE level of DFT.

Cell: 7.9984 7.9984 7.9984 Å, 87.39 87.39 87.39°
Last column: magnetic moment on the atom in μB.
Fractional positions:
Ge 0.8889 0.8892 0.4718  -0.01
Ce 0.8325 0.5108 0.5105  0.51
Ce 0.1177 0.7752 0.7753  0.51
Ce 0.1675 0.4892 0.4895  0.51
Tc 0.0000 0.0000 0.0000  -0.09
Ce 0.8823 0.2248 0.2247  0.51
Ge 0.8892 0.4718 0.8889  -0.01
Ge 0.1108 0.5282 0.1111  -0.01
Ce 0.2248 0.2247 0.8823  0.51
Ce 0.7753 0.1177 0.7752  0.51
Ge 0.5282 0.1111 0.1108  -0.01
Ce 0.4895 0.1675 0.4892  0.51
Ce 0.5108 0.5105 0.8325  0.51
Ce 0.5105 0.8325 0.5108  0.51
Ce 0.7752 0.7753 0.1177  0.51
Tc 0.5000 0.5000 0.5000  -0.03
Ce 0.4892 0.4895 0.1675  0.51
Ce 0.2247 0.8823 0.2248  0.51
Ge 0.4718 0.8889 0.8892  -0.01
Ge 0.1111 0.1108 0.5282  -0.01

## Properties
* Fermi-level density of states: 2.32 states/eV/atom
* energy of formation: -0.347 eV per atom
* crystal system: trigonal
* SG: No. 166

Computed, not measured: crystalline Ce3Tc2Ge3 at its relaxed geometry at the GGA-PBE level of DFT.

Cell: 5.3601 8.5048 14.8414 Å, 90.00 90.00 90.00°
Last column: magnetic moment on the atom in μB.
Fractional positions:
Tc 0.5988 0.5624 0.4050  -0.02
Ce 0.6046 0.3227 0.2500  0.25
Ge 0.5898 0.3342 0.7500  0.00
Ge 0.6194 0.2880 0.0371  0.00
Ce 0.3954 0.6773 0.7500  0.25
Tc 0.9012 0.0624 0.4050  -0.02
Ce 0.1015 0.4712 0.1133  0.14
Ge 0.1194 0.2120 0.5371  0.00
Ge 0.6194 0.2880 0.4629  0.00
Tc 0.4012 0.4376 0.5950  -0.02
Ge 0.4102 0.6658 0.2500  0.00
Ge 0.1194 0.2120 0.9629  0.00
Tc 0.5988 0.5624 0.0950  -0.02
Ce 0.8954 0.8227 0.2500  0.25
Ge 0.3806 0.7120 0.9629  0.00
Ge 0.8806 0.7880 0.4629  0.00
Ce 0.6015 0.0288 0.6133  0.14
Ce 0.1046 0.1773 0.7500  0.25
Ce 0.3985 0.9712 0.3867  0.14
Ce 0.1015 0.4712 0.3867  0.14
Ce 0.8985 0.5288 0.6133  0.14
Ce 0.3985 0.9712 0.1133  0.14
Ge 0.3806 0.7120 0.5371  0.00
Tc 0.0988 0.9376 0.9050  -0.02
Tc 0.0988 0.9376 0.5950  -0.02
Ce 0.6015 0.0288 0.8867  0.14
Tc 0.4012 0.4376 0.9050  -0.02
Tc 0.9012 0.0624 0.0950  -0.02
Ce 0.8985 0.5288 0.8867  0.14
Ge 0.0898 0.1658 0.2500  0.00
Ge 0.9102 0.8342 0.7500  0.00
Ge 0.8806 0.7880 0.0371  0.00

## Properties
* Fermi-level density of states: 1.49 states/eV/atom
* energy of formation: -0.523 eV per atom
* crystal system: orthorhombic
* offset from the most stable computed form: 0.000 eV/atom
* SG: No. 62

Computed, not measured: crystalline CeTc5Ge8 at its relaxed geometry at the GGA-PBE level of DFT.

Cell: 7.5814 7.5814 7.5814 Å, 60.00 60.00 60.00°
Last column: magnetic moment on the atom in μB.
Fractional positions:
Tc 0.6512 0.0465 0.6512  -0.15
Ge 0.4108 0.4108 0.4108  0.00
Ge 0.8762 0.3713 0.8762  0.00
Tc 0.6512 0.6512 0.6512  -0.15
Ge 0.7677 0.4108 0.4108  0.00
Ge 0.4108 0.4108 0.7677  0.00
Ge 0.8762 0.8762 0.8762  0.00
Tc 0.0000 0.0000 0.0000  -0.19
Ge 0.8762 0.8762 0.3713  0.00
Tc 0.0465 0.6512 0.6512  -0.15
Ce 0.2500 0.2500 0.2500  0.91
Tc 0.6512 0.6512 0.0465  -0.15
Ge 0.3713 0.8762 0.8762  0.00
Ge 0.4108 0.7677 0.4108  0.00

## Properties
* Fermi-level density of states: 1.45 states/eV/atom
* energy of formation: 0.317 eV per atom
* crystal system: cubic
* SG: No. 216

Computed, not measured: crystalline Ce4Tc3Ge5 at its relaxed geometry at the GGA-PBE level of DFT.

Cell: 4.5616 7.9110 8.3998 Å, 84.91 74.24 73.24°
Last column: magnetic moment on the atom in μB.
Fractional positions:
Ge 0.5000 0.5000 0.5000  0.00
Tc 0.0000 0.5000 0.5000  0.10
Ce 0.9169 0.2623 0.9039  0.57
Tc 0.4258 0.7972 0.3511  -0.02
Ge 0.2190 0.3655 0.1966  0.00
Tc 0.5742 0.2028 0.6489  -0.02
Ce 0.0831 0.7377 0.0961  0.57
Ce 0.7522 0.1200 0.3756  0.01
Ge 0.4073 0.0416 0.1438  -0.01
Ge 0.5927 0.9584 0.8562  -0.01
Ge 0.7810 0.6345 0.8034  0.00
Ce 0.2478 0.8800 0.6244  0.01

## Properties
* Fermi-level density of states: 1.34 states/eV/atom
* energy of formation: -0.160 eV per atom
* crystal system: monoclinic
* SG: No. 12

Computed, not measured: crystalline Ce12Tc2Ge5 at its relaxed geometry at the GGA-PBE level of DFT.

Cell: 7.7091 8.9005 8.1122 Å, 89.50 90.00 115.66°
Last column: magnetic moment on the atom in μB.
Fractional positions:
Ce 0.6003 0.6830 0.5097  0.80
Ce 0.0828 0.6830 0.5097  0.80
Ce 0.4183 0.3275 0.0239  0.41
Ge 0.2710 0.5420 0.2554  -0.03
Ge 0.0000 0.0000 0.5000  -0.02
Ce 0.0206 0.0413 0.8395  -0.01
Ge 0.7665 0.5330 0.2485  -0.03
Ce 0.5212 0.0424 0.7207  0.50
Ce 0.9794 0.9587 0.1605  -0.01
Ce 0.3997 0.3170 0.4903  0.80
Ce 0.9172 0.3170 0.4903  0.80
Ce 0.0908 0.6725 0.9761  0.41
Ce 0.9092 0.3275 0.0239  0.41
Ce 0.4788 0.9576 0.2793  0.50
Ge 0.7290 0.4580 0.7446  -0.03
Ce 0.5817 0.6725 0.9761  0.41
Tc 0.6757 0.0000 0.0000  -0.07
Tc 0.3243 0.0000 0.0000  -0.07
Ge 0.2335 0.4670 0.7515  -0.03

## Properties
* Fermi-level density of states: 2.62 states/eV/atom
* energy of formation: -0.313 eV per atom
* crystal system: monoclinic
* SG: No. 12

Computed, not measured: crystalline Ce5TcGe3 at its relaxed geometry at the GGA-PBE level of DFT.

Cell: 7.7131 7.7131 9.1687 Å, 114.87 114.87 90.00°
Last column: magnetic moment on the atom in μB.
Fractional positions:
Ge 0.7500 0.7500 0.5000  -0.03
Tc 0.2500 0.7500 0.5000  -0.09
Tc 0.7500 0.2500 0.5000  -0.09
Ge 0.1205 0.3795 0.0000  -0.03
Ge 0.3795 0.8795 0.0000  -0.03
Ce 0.6735 0.1735 0.7149  0.48
Ge 0.8795 0.6205 0.0000  -0.03
Ce 0.8265 0.9586 0.2851  0.48
Ce 0.0000 0.0000 0.0000  0.91
Ge 0.2500 0.2500 0.5000  -0.03
Ce 0.5000 0.5000 0.0000  0.91
Ge 0.6205 0.1205 0.0000  -0.03
Ce 0.1735 0.0414 0.7149  0.48
Ce 0.4586 0.3265 0.2851  0.48
Ce 0.3265 0.8265 0.2851  0.48
Ce 0.5414 0.6735 0.7149  0.48
Ce 0.9586 0.4586 0.2851  0.48
Ce 0.0414 0.5414 0.7149  0.48

## Properties
* Fermi-level density of states: 1.99 states/eV/atom
* energy of formation: -0.434 eV per atom
* crystal system: tetragonal
* SG: No. 140